CrCu2P | Alexandria via LeMat-Bulk | PBE-GGA | optimized geometry; formation energy from the elements = 0.223 eV per atom; final energy = -5.584 eV per atom; space group = Cmmm, No. 65; Fermi-level density of states = 0.50 states/eV/atom
1.0
2.368 -4.076 0.000
2.368 4.076 0.000
0.000 0.000 2.528
Cr Cu P
1 2 1
direct
0.000 0.000 0.000
0.000 0.500 0.500
0.500 0.000 0.500
0.500 0.500 0.000